Record 1
The following is a PBEsol calculation of crystalline BeCdAu at its relaxed geometry, from Alexandria.

Output
Total moment   0.000 μB/cell
Crystal system   trigonal
Formation energy   0.11 eV/atom

a b c (Å): 2.9305 2.9305 6.2672
angles (deg): 90.00 90.00 120.00
Fractional coordinates of all 3 atoms:
1 Be 0.0000 0.0000 0.0000
2 Cd 0.3333 0.6667 0.6671
3 Au 0.6667 0.3333 0.2685



Record 2
The following is a PBEsol calculation of crystalline Be2CdAu at its relaxed geometry, from Alexandria.

Output
Total moment   0.000 μB/cell
Crystal system   tetragonal
Formation energy   0.43 eV/atom

a b c (Å): 6.7052 6.7052 5.4271
angles (deg): 90.00 90.00 90.00
Fractional coordinates of all 16 atoms:
1 Be 0.2121 0.2500 0.1250
2 Be 0.2500 0.7121 0.3750
3 Be 0.2500 0.7879 0.8750
4 Be 0.2879 0.2500 0.6250
5 Be 0.7121 0.7500 0.6250
6 Be 0.7500 0.2121 0.8750
7 Be 0.7500 0.2879 0.3750
8 Be 0.7879 0.7500 0.1250
9 Cd 0.0000 0.0000 0.5000
10 Cd 0.0000 0.5000 0.7500
11 Cd 0.5000 0.0000 0.2500
12 Cd 0.5000 0.5000 0.0000
13 Au 0.0000 0.0000 0.0000
14 Au 0.0000 0.5000 0.2500
15 Au 0.5000 0.0000 0.7500
16 Au 0.5000 0.5000 0.5000



Record 3
The following is a PBEsol calculation of crystalline BeCd4Au at its relaxed geometry, from Alexandria.

Output
Total moment   0.000 μB/cell
Crystal system   cubic
Formation energy   0.43 eV/atom

a b c (Å): 5.4713 5.4713 5.4713
angles (deg): 60.00 60.00 60.00
Fractional coordinates of all 6 atoms:
1 Be 0.0000 0.0000 0.0000
2 Cd 0.3750 0.3750 0.3750
3 Cd 0.3750 0.3750 0.8751
4 Cd 0.3750 0.8751 0.3750
5 Cd 0.8751 0.3750 0.3750
6 Au 0.7500 0.7500 0.7500



Record 4
The following is a PBEsol calculation of crystalline BeCd2Au at its relaxed geometry, from Alexandria.

Output
Total moment   0.000 μB/cell
Crystal system   tetragonal
Formation energy   0.13 eV/atom

a b c (Å): 3.9957 3.9957 8.2036
angles (deg): 90.00 90.00 90.00
Fractional coordinates of all 8 atoms:
1 Be 0.0000 0.0000 0.0000
2 Be 0.5000 0.5000 0.5000
3 Cd 0.0000 0.5000 0.2500
4 Cd 0.0000 0.5000 0.7500
5 Cd 0.5000 0.0000 0.2500
6 Cd 0.5000 0.0000 0.7500
7 Au 0.0000 0.0000 0.5000
8 Au 0.5000 0.5000 0.0000



Record 5
The following is a PBEsol calculation of crystalline Be2CdAu at its relaxed geometry, from Alexandria.

Output
Total moment   0.000 μB/cell
Crystal system   orthorhombic
Formation energy   0.13 eV/atom

a b c (Å): 2.9949 4.1833 8.5489
angles (deg): 90.00 90.00 90.00
Fractional coordinates of all 8 atoms:
1 Be 0.0000 0.0000 0.0000
2 Be 0.0000 0.5000 0.2769
3 Be 0.5000 0.0000 0.7769
4 Be 0.5000 0.5000 0.5000
5 Cd 0.0000 0.5000 0.7696
6 Cd 0.5000 0.0000 0.2696
7 Au 0.0000 0.0000 0.5472
8 Au 0.5000 0.5000 0.0472



Record 6
The following is a PBEsol calculation of crystalline Be2CdCoAu at its relaxed geometry, from Alexandria.

Output
Total moment   1.824 μB/cell
Crystal system   tetragonal
Formation energy   0.79 eV/atom

a b c (Å): 4.2514 4.2514 4.7627
angles (deg): 90.00 90.00 90.00
Fractional coordinates of all 5 atoms:
1 Be 0.0000 0.5000 0.0000
2 Be 0.5000 0.0000 0.0000
3 Cd 0.0000 0.0000 0.5000
4 Co 0.5000 0.5000 0.5000
5 Au 0.5000 0.5000 0.0000



Record 7
The following is a PBEsol calculation of crystalline BeAu2Cl at its relaxed geometry, from Alexandria.

Output
Total moment   0.000 μB/cell
ΔE to the lowest computed polymorph   350.1 meV per atom
Crystal system   tetragonal
Raw formation energy   6 kJ per mole of atoms

a b c (Å): 2.9387 2.9387 7.1820
angles (deg): 90.00 90.00 90.00
Fractional coordinates of all 4 atoms:
1 Be 0.0000 0.0000 0.0000
2 Au 0.5000 0.5000 0.2017
3 Au 0.5000 0.5000 0.7983
4 Cl 0.0000 0.0000 0.5000



Record 8
The following is a PBEsol calculation of crystalline BeAu2Cl at its relaxed geometry, from Alexandria.

Output
Total moment   0.000 μB/cell
ΔE to the lowest computed polymorph   0.0 meV per atom
Crystal system   monoclinic
Raw formation energy   -28 kJ per mole of atoms

a b c (Å): 4.5383 3.0097 6.3506
angles (deg): 90.00 94.47 90.00
Fractional coordinates of all 4 atoms:
1 Be 0.0000 0.0000 0.0000
2 Au 0.1138 0.5000 0.7232
3 Au 0.6106 0.0000 0.7378
4 Cl 0.0248 0.5000 0.2142



Record 9
The following is a PBEsol calculation of crystalline BeAu2Cl at its relaxed geometry, from Alexandria.

Output
Total moment   0.000 μB/cell
ΔE to the lowest computed polymorph   636.6 meV per atom
Crystal system   monoclinic
Raw formation energy   33 kJ per mole of atoms

a b c (Å): 5.3355 9.7900 3.2436
angles (deg): 90.00 126.82 90.00
Fractional coordinates of all 8 atoms:
1 Be 0.0000 0.0000 0.0000
2 Be 0.5000 0.5000 0.0000
3 Au 0.2500 0.2500 0.0000
4 Au 0.2500 0.7500 0.0000
5 Au 0.7500 0.2500 0.0000
6 Au 0.7500 0.7500 0.0000
7 Cl 0.0000 0.5000 0.0000
8 Cl 0.5000 0.0000 0.0000



Record 10
The following is a PBEsol calculation of crystalline BeAuCl at its relaxed geometry, from Alexandria.

Output
Total moment   0.001 μB/cell
Crystal system   cubic
Raw formation energy   49 kJ per mole of atoms

a b c (Å): 6.0363 6.0363 6.0363
angles (deg): 90.00 90.00 90.00
Fractional coordinates of all 12 atoms:
1 Be 0.0000 0.0000 0.0000
2 Be 0.0000 0.5000 0.5000
3 Be 0.5000 0.0000 0.5000
4 Be 0.5000 0.5000 0.0000
5 Au 0.2500 0.2500 0.2500
6 Au 0.2500 0.7500 0.7500
7 Au 0.7500 0.2500 0.7500
8 Au 0.7500 0.7500 0.2500
9 Cl 0.0000 0.0000 0.5000
10 Cl 0.0000 0.5000 0.0000
11 Cl 0.5000 0.0000 0.0000
12 Cl 0.5000 0.5000 0.5000



Record 11
The following is a PBEsol calculation of crystalline KBe2AuCl at its relaxed geometry, from Alexandria.

Output
Total moment   0.348 μB/cell
Crystal system   tetragonal
Raw formation energy   76 kJ per mole of atoms

a b c (Å): 4.3742 4.3742 5.3618
angles (deg): 90.00 90.00 90.00
Fractional coordinates of all 5 atoms:
1 K 0.0000 0.0000 0.0000
2 Be 0.0000 0.5000 0.5000
3 Be 0.5000 0.0000 0.5000
4 Au 0.5000 0.5000 0.0000
5 Cl 0.0000 0.0000 0.5000



Record 12
The following is a PBEsol calculation of crystalline BeCo2Au at its relaxed geometry, from Alexandria.

Output
Total moment   5.394 μB/cell
Crystal system   orthorhombic
Formation energy   0.20 eV/atom

a b c (Å): 4.8203 7.3341 2.6718
angles (deg): 90.00 90.00 90.00
Fractional coordinates of all 8 atoms:
1 Be 0.0000 0.0000 0.0000
2 Be 0.5000 0.5000 0.0000
3 Co 0.2500 0.2500 0.5000
4 Co 0.2500 0.7500 0.5000
5 Co 0.7500 0.2500 0.5000
6 Co 0.7500 0.7500 0.5000
7 Au 0.0000 0.5000 0.0000
8 Au 0.5000 0.0000 0.0000